No. 1
Entry from Alexandria: a geometry-optimized CaTm2Mg structure (GGA-PBE).

## Properties
Distance to the lowest polymorph of the same formula ... 62 meV/atom

Unit cell a=7.8152 b=7.8152 c=7.8152 alpha=90.00 beta=90.00 gamma=90.00
Fractional positions:
Ca 0.0000 0.0000 0.0000
Ca 0.0000 0.5000 0.5000
Ca 0.5000 0.0000 0.5000
Ca 0.5000 0.5000 0.0000
Tm 0.2500 0.2500 0.2500
Tm 0.2500 0.2500 0.7500
Tm 0.2500 0.7500 0.2500
Tm 0.2500 0.7500 0.7500
Tm 0.7500 0.2500 0.2500
Tm 0.7500 0.2500 0.7500
Tm 0.7500 0.7500 0.2500
Tm 0.7500 0.7500 0.7500
Mg 0.0000 0.0000 0.5000
Mg 0.0000 0.5000 0.0000
Mg 0.5000 0.0000 0.0000
Mg 0.5000 0.5000 0.5000

No. 2
Entry from Alexandria: a geometry-optimized CaYTmMg structure (GGA-PBE).

Unit cell a=7.8645 b=7.8645 c=7.8645 alpha=90.00 beta=90.00 gamma=90.00
Fractional positions:
Ca 0.0000 0.0000 0.0000
Ca 0.0000 0.5000 0.5000
Ca 0.5000 0.0000 0.5000
Ca 0.5000 0.5000 0.0000
Y 0.2500 0.2500 0.7500
Y 0.2500 0.7500 0.2500
Y 0.7500 0.2500 0.2500
Y 0.7500 0.7500 0.7500
Tm 0.2500 0.2500 0.2500
Tm 0.2500 0.7500 0.7500
Tm 0.7500 0.2500 0.7500
Tm 0.7500 0.7500 0.2500
Mg 0.0000 0.0000 0.5000
Mg 0.0000 0.5000 0.0000
Mg 0.5000 0.0000 0.0000
Mg 0.5000 0.5000 0.5000

No. 3
Entry from Alexandria: a geometry-optimized CaMg14V structure (GGA-PBE).

Unit cell a=10.4734 b=6.4430 c=6.4430 alpha=59.34 beta=90.00 gamma=90.00
Fractional positions:
Ca 0.0000 0.0000 0.0000
Mg 0.0000 0.0070 0.4960
Mg 0.0000 0.4960 0.0070
Mg 0.2355 0.6566 0.6566
Mg 0.2502 0.1671 0.6543
Mg 0.2502 0.6543 0.1671
Mg 0.2589 0.1625 0.1625
Mg 0.5000 0.4965 0.4965
Mg 0.5000 0.4988 0.9920
Mg 0.5000 0.9920 0.4988
Mg 0.5000 0.9940 0.9940
Mg 0.7411 0.1625 0.1625
Mg 0.7498 0.1671 0.6543
Mg 0.7498 0.6543 0.1671
Mg 0.7645 0.6566 0.6566
V 0.0000 0.4946 0.4946

No. 4
Entry from Alexandria: a geometry-optimized CaMgV2 structure (GGA-PBE).

Unit cell a=4.2650 b=4.2650 c=20.8572 alpha=90.00 beta=90.00 gamma=90.00
Fractional positions:
Ca 0.0000 0.0000 0.0000
Ca 0.0000 0.5000 0.2500
Ca 0.5000 0.0000 0.7500
Ca 0.5000 0.5000 0.5000
Mg 0.0000 0.0000 0.5000
Mg 0.0000 0.5000 0.7500
Mg 0.5000 0.0000 0.2500
Mg 0.5000 0.5000 0.0000
V 0.0146 0.2500 0.6250
V 0.2500 0.5147 0.8750
V 0.2500 0.9854 0.3750
V 0.4854 0.2500 0.1250
V 0.5147 0.7500 0.1250
V 0.7500 0.0146 0.3750
V 0.7500 0.4854 0.8750
V 0.9854 0.7500 0.6250

No. 5
Entry from Alexandria: a geometry-optimized CaMg3V structure (GGA-PBE).

## Properties
Distance to the lowest polymorph of the same formula ... 0 meV/atom

Unit cell a=5.2576 b=5.2576 c=5.2576 alpha=90.00 beta=90.00 gamma=90.00
Fractional positions:
Ca 0.0000 0.0000 0.0000
Mg 0.0000 0.5000 0.5000
Mg 0.5000 0.0000 0.5000
Mg 0.5000 0.5000 0.0000
V 0.5000 0.5000 0.5000

No. 6
Entry from Alexandria: a geometry-optimized Ca3MgV structure (GGA-PBE).

## Properties
Distance to the lowest polymorph of the same formula ... 252 meV/atom

Unit cell a=5.8657 b=5.8657 c=5.8657 alpha=90.00 beta=90.00 gamma=90.00
Fractional positions:
Ca 0.0000 0.0000 0.5000
Ca 0.0000 0.5000 0.0000
Ca 0.5000 0.0000 0.0000
Mg 0.0000 0.0000 0.0000
V 0.5000 0.5000 0.5000

No. 7
Entry from Alexandria: a geometry-optimized CaMg14V structure (GGA-PBE).

Unit cell a=6.4498 b=6.4498 c=10.3910 alpha=90.00 beta=90.00 gamma=120.00
Fractional positions:
Ca 0.0000 0.0000 0.0000
Mg 0.0097 0.5049 0.0000
Mg 0.1656 0.3313 0.2640
Mg 0.1656 0.3313 0.7360
Mg 0.1656 0.8344 0.2640
Mg 0.1656 0.8344 0.7360
Mg 0.4951 0.5049 0.0000
Mg 0.4951 0.9903 0.0000
Mg 0.5024 0.0047 0.5000
Mg 0.5024 0.4976 0.5000
Mg 0.6667 0.3333 0.2414
Mg 0.6667 0.3333 0.7586
Mg 0.6687 0.8344 0.2640
Mg 0.6687 0.8344 0.7360
Mg 0.9953 0.4976 0.5000
V 0.0000 0.0000 0.5000

No. 8
Entry from Alexandria: a geometry-optimized Ca3MgV structure (GGA-PBE).

## Properties
Distance to the lowest polymorph of the same formula ... 0 meV/atom

Unit cell a=5.8045 b=5.8045 c=5.8045 alpha=90.00 beta=90.00 gamma=90.00
Fractional positions:
Ca 0.0000 0.0000 0.5000
Ca 0.0000 0.5000 0.0000
Ca 0.5000 0.0000 0.0000
Mg 0.5000 0.5000 0.5000
V 0.0000 0.0000 0.0000

No. 9
Entry from Alexandria: a geometry-optimized CaMg2W structure (GGA-PBE).

## Properties
Distance to the lowest polymorph of the same formula ... 117 meV/atom

Unit cell a=2.8393 b=4.9462 c=6.2237 alpha=90.00 beta=100.48 gamma=90.00
Fractional positions:
Ca 0.0000 0.0000 0.0000
Mg 0.2477 0.5000 0.7125
Mg 0.7523 0.5000 0.2875
W 0.5000 0.0000 0.5000

No. 10
Entry from Alexandria: a geometry-optimized CaMg2W structure (GGA-PBE).

## Properties
Distance to the lowest polymorph of the same formula ... 116 meV/atom

Unit cell a=3.0787 b=3.0787 c=31.6038 alpha=90.00 beta=90.00 gamma=120.00
Fractional positions:
Ca 0.0000 0.0000 0.0000
Ca 0.3333 0.6667 0.6667
Ca 0.6667 0.3333 0.3333
Mg 0.0000 0.0000 0.2406
Mg 0.0000 0.0000 0.7594
Mg 0.3333 0.6667 0.4260
Mg 0.3333 0.6667 0.9073
Mg 0.6667 0.3333 0.0927
Mg 0.6667 0.3333 0.5740
W 0.0000 0.0000 0.5000
W 0.3333 0.6667 0.1667
W 0.6667 0.3333 0.8333

No. 11
Entry from Alexandria: a geometry-optimized CaMg2W structure (GGA-PBE).

## Properties
Distance to the lowest polymorph of the same formula ... 309 meV/atom

Unit cell a=4.3744 b=4.3744 c=9.0462 alpha=90.00 beta=90.00 gamma=90.00
Fractional positions:
Ca 0.0000 0.0000 0.0000
Ca 0.5000 0.5000 0.5000
Mg 0.0000 0.0000 0.5000
Mg 0.0000 0.5000 0.7500
Mg 0.5000 0.0000 0.2500
Mg 0.5000 0.5000 0.0000
W 0.0000 0.5000 0.2500
W 0.5000 0.0000 0.7500

No. 12
Entry from Alexandria: a geometry-optimized CaMg2W structure (GGA-PBE).

## Properties
Distance to the lowest polymorph of the same formula ... 122 meV/atom

Unit cell a=10.3912 b=2.8846 c=5.8089 alpha=90.00 beta=96.71 gamma=90.00
Fractional positions:
Ca 0.0000 0.0000 0.0000
Ca 0.5000 0.5000 0.0000
Mg 0.2386 0.0000 0.7127
Mg 0.2614 0.5000 0.2873
Mg 0.7386 0.5000 0.7127
Mg 0.7614 0.0000 0.2873
W 0.0000 0.5000 0.5000
W 0.5000 0.0000 0.5000

Sequential energy of formation from the pure elements output: 115 91 86 934 513 902 85 650 562 561 754 567 meV per atom